VASP calculation (PBE) on crystalline Tl2ZnGa2 at its relaxed geometry.

Results
- M_tot: 0.000 μB per atom
- SG: P4/mbm (127)
- DFT total energy: -2.322 eV/atom

Cell lengths 6.8815, 6.8815, 5.0135 Å; angles 90.00, 90.00, 90.00 degrees
Atoms (fractional coordinates):
Tl 0.8236 0.3236 0.5000
Tl 0.1764 0.6764 0.5000
Tl 0.3236 0.1764 0.5000
Tl 0.6764 0.8236 0.5000
Ga 0.1375 0.3625 0.0000
Ga 0.6375 0.1375 0.0000
Ga 0.8625 0.6375 0.0000
Ga 0.3625 0.8625 0.0000
Zn 0.5000 0.5000 0.0000
Zn 0.0000 0.0000 0.0000



VASP calculation (PBE) on crystalline Tl2ZnGa2 at its relaxed geometry.

Results
- M_tot: 0.000 μB per atom
- SG: I4/mmm (139)
- DFT total energy: -2.115 eV/atom

Cell lengths 4.6398, 4.6398, 7.0018 Å; angles 70.65, 70.65, 90.00 degrees
Atoms (fractional coordinates):
Zn 0.0000 0.0000 0.0000
Tl 0.2500 0.7500 0.5000
Tl 0.7500 0.2500 0.5000
Ga 0.3993 0.3993 0.2013
Ga 0.6007 0.6007 0.7987



VASP calculation (PBE) on crystalline Tl3ZnGa at its relaxed geometry.

Results
- M_tot: 0.000 μB per atom
- SG: Pm-3m (221)
- DFT total energy: -1.952 eV/atom

Cell lengths 5.3693, 5.3693, 5.3693 Å; angles 90.00, 90.00, 90.00 degrees
Atoms (fractional coordinates):
Ga 0.5000 0.5000 0.5000
Zn 0.0000 0.0000 0.0000
Tl 0.5000 0.0000 0.0000
Tl 0.0000 0.5000 0.0000
Tl 0.0000 0.0000 0.5000



VASP calculation (PBE) on crystalline Tl2ZnGa at its relaxed geometry.

Results
- M_tot: 0.000 μB per atom
- SG: Cm (8)
- DFT total energy: -2.084 eV/atom

Cell lengths 3.6383, 3.6383, 9.1304 Å; angles 77.49, 77.49, 59.73 degrees
Atoms (fractional coordinates):
Tl 0.0817 0.0817 0.7571
Tl 0.2471 0.2471 0.2432
Zn 0.6677 0.6677 0.9993
Ga 0.5035 0.5035 0.5004



VASP calculation (PBE) on crystalline TlZn2Ga at its relaxed geometry.

Results
- M_tot: 0.000 μB per atom
- SG: P4/mmm (123)
- DFT total energy: -1.806 eV/atom

Cell lengths 4.3982, 4.3368, 4.3368 Å; angles 90.00, 90.00, 90.00 degrees
Atoms (fractional coordinates):
Zn 0.0000 0.5000 0.0000
Zn 0.0000 0.0000 0.5000
Tl 0.5000 0.0000 0.0000
Ga 0.5000 0.5000 0.5000



VASP calculation (PBE) on crystalline TlZn2Ga5 at its relaxed geometry.

Results
- M_tot: 0.000 μB per atom
- SG: C2/m (12)
- DFT total energy: -2.477 eV/atom

Cell lengths 4.3335, 6.5725, 6.5725 Å; angles 68.59, 71.81, 71.81 degrees
Atoms (fractional coordinates):
Ga 0.6407 0.5458 0.1742
Ga 0.3593 0.8258 0.4542
Ga 0.0000 0.5000 0.5000
Ga 0.3593 0.4542 0.8258
Ga 0.6407 0.1742 0.5458
Zn 0.7419 0.7576 0.7576
Zn 0.2581 0.2424 0.2424
Tl 0.0000 0.0000 0.0000



VASP calculation (PBE) on crystalline TlZn2Ga at its relaxed geometry.

Results
- M_tot: 0.000 μB per atom
- SG: I-42d (122)
- DFT total energy: -1.798 eV/atom

Cell lengths 4.4369, 4.4369, 9.4066 Å; angles 76.36, 76.36, 90.00 degrees
Atoms (fractional coordinates):
Tl 0.7500 0.2500 0.5000
Tl 0.0000 0.0000 0.0000
Zn 0.5538 0.1250 0.2500
Zn 0.8750 0.8038 0.7500
Zn 0.3750 0.4462 0.7500
Zn 0.1962 0.6250 0.2500
Ga 0.2500 0.7500 0.5000
Ga 0.5000 0.5000 0.0000



VASP calculation (PBE) on crystalline TlZn3Ga at its relaxed geometry.

Results
- M_tot: 0.000 μB per atom
- SG: Pm-3m (221)
- DFT total energy: -1.570 eV/atom

Cell lengths 4.9156, 4.9156, 4.9156 Å; angles 90.00, 90.00, 90.00 degrees
Atoms (fractional coordinates):
Tl 0.5000 0.5000 0.5000
Zn 0.5000 0.0000 0.0000
Zn 0.0000 0.0000 0.5000
Zn 0.0000 0.5000 0.0000
Ga 0.0000 0.0000 0.0000



VASP calculation (PBE) on crystalline TlZnGa3 at its relaxed geometry.

Results
- M_tot: 0.000 μB per atom
- SG: Pm-3m (221)
- DFT total energy: -1.858 eV/atom

Cell lengths 5.4514, 5.4514, 5.4514 Å; angles 90.00, 90.00, 90.00 degrees
Atoms (fractional coordinates):
Ga 0.5000 0.0000 0.0000
Ga 0.0000 0.0000 0.5000
Ga 0.0000 0.5000 0.0000
Zn 0.5000 0.5000 0.5000
Tl 0.0000 0.0000 0.0000



VASP calculation (PBE) on crystalline Tl2ZnGa at its relaxed geometry.

Results
- M_tot: 0.000 μB per atom
- SG: P4/mmm (123)
- DFT total energy: -2.096 eV/atom

Cell lengths 3.2756, 5.5090, 5.5090 Å; angles 90.00, 90.00, 90.00 degrees
Atoms (fractional coordinates):
Ga 0.5000 0.5000 0.5000
Tl 0.0000 0.5000 0.0000
Tl 0.0000 0.0000 0.5000
Zn 0.5000 0.0000 0.0000



VASP calculation (PBE) on crystalline Tl2ZnGa at its relaxed geometry.

Results
- M_tot: 0.000 μB per atom
- SG: Fm-3m (225)
- DFT total energy: -2.101 eV/atom

Cell lengths 5.1747, 5.1747, 5.1747 Å; angles 60.00, 60.00, 60.00 degrees
Atoms (fractional coordinates):
Zn 0.0000 0.0000 0.0000
Tl 0.2500 0.2500 0.2500
Tl 0.7500 0.7500 0.7500
Ga 0.5000 0.5000 0.5000



VASP calculation (PBE) on crystalline Tl2ZnGa7 at its relaxed geometry.

Results
- M_tot: 0.000 μB per atom
- SG: P-4m2 (115)
- DFT total energy: -2.699 eV/atom

Cell lengths 4.3373, 4.3373, 11.4487 Å; angles 90.00, 90.00, 90.00 degrees
Atoms (fractional coordinates):
Tl 0.5000 0.0000 0.7551
Tl 0.0000 0.5000 0.2449
Zn 0.5000 0.5000 0.0000
Ga 0.0000 0.5000 0.6389
Ga 0.5000 0.5000 0.5000
Ga 0.5000 0.0000 0.3611
Ga 0.0000 0.0000 0.5000
Ga 0.5000 0.0000 0.1358
Ga 0.0000 0.0000 0.0000
Ga 0.0000 0.5000 0.8642



VASP calculation (PBE) on crystalline TlZn2Ga at its relaxed geometry.

Results
- M_tot: 0.000 μB per atom
- SG: P4/mmm (123)
- DFT total energy: -1.850 eV/atom

Cell lengths 3.2770, 3.2770, 7.6505 Å; angles 90.00, 90.00, 90.00 degrees
Atoms (fractional coordinates):
Zn 0.0000 0.0000 0.2026
Zn 0.0000 0.0000 0.7974
Ga 0.5000 0.5000 0.0000
Tl 0.5000 0.5000 0.5000



VASP calculation (PBE) on crystalline TlZnGa4 at its relaxed geometry.

Results
- M_tot: 0.000 μB per atom
- SG: C2/m (12)
- DFT total energy: -2.575 eV/atom

Cell lengths 6.2563, 6.0646, 8.0277 Å; angles 112.19, 115.40, 90.00 degrees
Atoms (fractional coordinates):
Tl 0.0672 0.2007 0.4014
Tl 0.9328 0.7993 0.5986
Ga 0.3055 0.6954 0.3908
Ga 0.0000 0.2259 0.0000
Ga 0.5055 0.6801 0.7983
Ga 0.4945 0.3199 0.2017
Ga 0.6945 0.3046 0.6092
Ga 0.4945 0.8818 0.2017
Ga 0.5055 0.1182 0.7983
Ga 0.0000 0.7741 0.0000
Zn 0.2096 0.4237 0.8474
Zn 0.7904 0.5763 0.1526



VASP calculation (PBE) on crystalline TlZn6Ga12 at its relaxed geometry.

Results
- M_tot: 0.000 μB per atom
- SG: R-3m (166)
- DFT total energy: -2.381 eV/atom

Cell lengths 7.5383, 7.5383, 7.5383 Å; angles 106.08, 106.08, 106.08 degrees
Atoms (fractional coordinates):
Zn 0.2970 0.7042 0.7042
Zn 0.7030 0.2958 0.2958
Zn 0.7042 0.7042 0.2970
Zn 0.7042 0.2970 0.7042
Zn 0.2958 0.2958 0.7030
Zn 0.2958 0.7030 0.2958
Ga 0.1142 0.5000 0.8858
Ga 0.6304 0.6304 0.8785
Ga 0.1142 0.8858 0.5000
Ga 0.3696 0.1215 0.3696
Ga 0.8858 0.1142 0.5000
Ga 0.3696 0.3696 0.1215
Ga 0.8858 0.5000 0.1142
Ga 0.5000 0.8858 0.1142
Ga 0.5000 0.1142 0.8858
Ga 0.1215 0.3696 0.3696
Ga 0.8785 0.6304 0.6304
Ga 0.6304 0.8785 0.6304
Tl 0.0000 0.0000 0.0000



VASP calculation (PBE) on crystalline TlZn2Ga9 at its relaxed geometry.

Results
- M_tot: 0.000 μB per atom
- SG: I4_1/amd (141)
- DFT total energy: -2.657 eV/atom

Cell lengths 7.5159, 8.7686, 8.7686 Å; angles 79.42, 64.62, 64.62 degrees
Atoms (fractional coordinates):
Zn 0.8750 0.2500 0.7500
Zn 0.8750 0.2500 0.2500
Zn 0.3750 0.7500 0.7500
Zn 0.8750 0.7500 0.2500
Ga 0.7573 0.5766 0.8197
Ga 0.9927 0.9234 0.6803
Ga 0.7573 0.8197 0.5766
Ga 0.1536 0.4234 0.1803
Ga 0.4230 0.4234 0.8197
Ga 0.3270 0.0766 0.6803
Ga 0.0000 0.0000 0.0000
Ga 0.0839 0.3197 0.9234
Ga 0.7500 0.5000 0.5000
Ga 0.3270 0.6803 0.0766
Ga 0.0839 0.9234 0.3197
Ga 0.5964 0.0766 0.3197
Ga 0.4230 0.8197 0.4234
Ga 0.1536 0.1803 0.4234
Ga 0.6661 0.5766 0.1803
Ga 0.6661 0.1803 0.5766
Ga 0.9927 0.6803 0.9234
Ga 0.5964 0.3197 0.0766
Tl 0.2500 0.5000 0.5000
Tl 0.5000 0.0000 0.0000



VASP calculation (PBE) on crystalline TlZn2Ga at its relaxed geometry.

Results
- M_tot: 0.000 μB per atom
- SG: R3m (160)
- DFT total energy: -1.860 eV/atom

Cell lengths 4.3156, 4.3156, 6.0899 Å; angles 69.25, 69.25, 60.00 degrees
Atoms (fractional coordinates):
Ga 0.6768 0.6768 0.9697
Zn 0.2864 0.2864 0.1407
Zn 0.0428 0.0428 0.8715
Tl 0.4940 0.4940 0.5181



VASP calculation (PBE) on crystalline Tl2ZnGa at its relaxed geometry.

Results
- M_tot: 0.000 μB per atom
- SG: I-42d (122)
- DFT total energy: -2.023 eV/atom

Cell lengths 4.4082, 4.4082, 11.2361 Å; angles 78.69, 78.69, 90.00 degrees
Atoms (fractional coordinates):
Ga 0.0000 0.0000 0.0000
Ga 0.7500 0.2500 0.5000
Zn 0.2500 0.7500 0.5000
Zn 0.5000 0.5000 0.0000
Tl 0.6238 0.1250 0.2500
Tl 0.3750 0.3762 0.7500
Tl 0.8750 0.8738 0.7500
Tl 0.1262 0.6250 0.2500



VASP calculation (PBE) on crystalline TlZn2Ga8 at its relaxed geometry.

Results
- M_tot: 0.000 μB per atom
- SG: P4/mmm (123)
- DFT total energy: -2.535 eV/atom

Cell lengths 6.3329, 6.3329, 5.7933 Å; angles 90.00, 90.00, 90.00 degrees
Atoms (fractional coordinates):
Ga 0.7859 0.2141 0.2582
Ga 0.2141 0.7859 0.2582
Ga 0.7859 0.2141 0.7418
Ga 0.7859 0.7859 0.2582
Ga 0.2141 0.7859 0.7418
Ga 0.7859 0.7859 0.7418
Ga 0.2141 0.2141 0.7418
Ga 0.2141 0.2141 0.2582
Zn 0.0000 0.5000 0.0000
Zn 0.5000 0.0000 0.0000
Tl 0.5000 0.5000 0.5000



VASP calculation (PBE) on crystalline TlZn2Ga6 at its relaxed geometry.

Results
- M_tot: 0.000 μB per atom
- SG: P4/mmm (123)
- DFT total energy: -2.521 eV/atom

Cell lengths 4.1686, 4.1686, 10.2345 Å; angles 90.00, 90.00, 90.00 degrees
Atoms (fractional coordinates):
Ga 0.0000 0.0000 0.5000
Ga 0.5000 0.5000 0.5000
Ga 0.0000 0.5000 0.2924
Ga 0.5000 0.0000 0.7076
Ga 0.5000 0.0000 0.2924
Ga 0.0000 0.5000 0.7076
Zn 0.5000 0.5000 0.8766
Zn 0.5000 0.5000 0.1234
Tl 0.0000 0.0000 0.0000



VASP calculation (PBE) on crystalline TlZn6Ga8 at its relaxed geometry.

Results
- M_tot: 0.000 μB per atom
- SG: R-3 (148)
- DFT total energy: -2.230 eV/atom

Cell lengths 6.7596, 6.7596, 6.7596 Å; angles 75.09, 75.09, 75.09 degrees
Atoms (fractional coordinates):
Ga 0.5363 0.8624 0.1975
Ga 0.1975 0.5363 0.8624
Ga 0.1376 0.8025 0.4637
Ga 0.2129 0.2129 0.2129
Ga 0.8025 0.4637 0.1376
Ga 0.4637 0.1376 0.8025
Ga 0.7871 0.7871 0.7871
Ga 0.8624 0.1975 0.5363
Zn 0.4331 0.8248 0.6431
Zn 0.5669 0.1752 0.3569
Zn 0.8248 0.6431 0.4331
Zn 0.1752 0.3569 0.5669
Zn 0.6431 0.4331 0.8248
Zn 0.3569 0.5669 0.1752
Tl 0.0000 0.0000 0.0000



VASP calculation (PBE) on crystalline TlZn4Ga2 at its relaxed geometry.

Results
- M_tot: 0.000 μB per atom
- SG: Cmmm (65)
- DFT total energy: -1.867 eV/atom

Cell lengths 4.1110, 4.1079, 8.1525 Å; angles 104.59, 90.00, 90.00 degrees
Atoms (fractional coordinates):
Zn 0.0000 0.3070 0.6140
Zn 0.0000 0.6930 0.3860
Zn 0.5000 0.1910 0.3820
Zn 0.5000 0.8090 0.6180
Tl 0.0000 0.0000 0.0000
Ga 0.5000 0.4148 0.8296
Ga 0.5000 0.5852 0.1704



VASP calculation (PBE) on crystalline TlZn2Ga2 at its relaxed geometry.

Results
- M_tot: 0.000 μB per atom
- SG: P4/mbm (127)
- DFT total energy: -2.095 eV/atom

Cell lengths 7.9046, 7.9046, 3.2252 Å; angles 90.00, 90.00, 90.00 degrees
Atoms (fractional coordinates):
Tl 0.0000 0.0000 0.0000
Tl 0.5000 0.5000 0.0000
Zn 0.3772 0.8772 0.0000
Zn 0.8772 0.6228 0.0000
Zn 0.1228 0.3772 0.0000
Zn 0.6228 0.1228 0.0000
Ga 0.8283 0.3283 0.5000
Ga 0.6717 0.8283 0.5000
Ga 0.1717 0.6717 0.5000
Ga 0.3283 0.1717 0.5000



| no. | formation energy from the elements (kJ per mole of atoms) |
| --- | --- |
| 1 | 9 |
| 2 | 29 |
| 3 | 32 |
| 4 | 17 |
| 5 | 17 |
| 6 | 3 |
| 7 | 18 |
| 8 | 26 |
| 9 | 66 |
| 10 | 16 |
| 11 | 15 |
| 12 | 2 |
| 13 | 13 |
| 14 | 5 |
| 15 | 6 |
| 16 | 2 |
| 17 | 12 |
| 18 | 23 |
| 19 | 11 |
| 20 | 4 |
| 21 | 5 |
| 22 | 6 |
| 23 | 10 |